w:
Computed, not measured: crystalline Mg4AlZn at its relaxed geometry at the PBE level of DFT.

Unit cell a=6.544 b=6.544 c=8.049 alpha=113.99 beta=113.99 gamma=90.00
Element x y z (fractional)
Mg1 0.132 0.125 0.750
Mg2 0.875 0.868 0.250
Mg3 0.132 0.625 0.750
Mg4 0.375 0.382 0.250
Mg5 0.618 0.125 0.750
Mg6 0.618 0.625 0.750
Mg7 0.375 0.868 0.250
Mg8 0.875 0.382 0.250
Al1 0.000 0.000 0.000
Al2 0.750 0.250 0.500
Zn1 0.250 0.750 0.500
Zn2 0.500 0.500 0.000

Output
Density of states at the Fermi level in states/eV per atom: 0.517

=====

x:
Computed, not measured: crystalline Mg4AlZn at its relaxed geometry at the PBE level of DFT.

Unit cell a=5.702 b=5.702 c=5.702 alpha=60.00 beta=60.00 gamma=60.00
Element x y z (fractional)
Mg1 0.875 0.375 0.375
Mg2 0.375 0.375 0.875
Mg3 0.375 0.875 0.375
Mg4 0.375 0.375 0.375
Al1 0.000 0.000 0.000
Zn1 0.750 0.750 0.750

Output
Density of states at the Fermi level in states/eV per atom: 0.276

=====

The relative energies come out as w 0.000; x 0.133, with values in eV/atom.